Record 1
PmGdIr, optimized geometry, DFT PBE; DOS at the Fermi energy = 2.29 states/eV per cell; ρ = 8.69 g/cm³
1.0
-5.595 -2.631 1.191
0.364 -2.328 -3.431
1.441 -1.417 3.639
Gd Ir Pm
1 1 1
direct
0.772 0.667 0.333
0.996 0.000 0.000
0.232 0.333 0.667

Record 2
PmGdIr, optimized geometry, DFT PBE; DOS at the Fermi energy = 3.09 states/eV per cell; ρ = 10.06 g/cm³
1.0
-2.754 2.218 0.139
-2.146 -2.597 -1.081
1.390 -1.516 6.673
Gd Ir Pm
1 1 1
direct
0.291 0.291 0.582
0.669 0.669 0.338
0.040 0.040 0.080

Record 3
Pm2GdIr, optimized geometry, DFT PBE; DOS at the Fermi energy = 5.29 states/eV per cell; ρ = 9.28 g/cm³
1.0
3.617 0.000 0.000
0.000 3.617 0.000
0.000 0.000 8.746
Gd Ir Pm
1 1 2
direct
0.500 0.500 0.500
0.500 0.500 0.000
0.000 0.000 0.813
0.000 0.000 0.187

Record 4
PmGdIr, optimized geometry, DFT PBE; DOS at the Fermi energy = 3.15 states/eV per cell; ρ = 9.98 g/cm³
1.0
-4.798 0.676 0.597
-3.179 -2.647 -2.593
-2.693 -3.426 2.203
Gd Ir Pm
1 1 1
direct
0.000 0.000 0.000
0.250 0.250 0.250
0.500 0.500 0.500

| no. | VASP energy (eV for the cell shown) |
| --- | --- |
| 1 | -29.26 |
| 2 | -29.15 |
| 3 | -33.59 |
| 4 | -29.50 |